Version one
3
Lattice="4.4143 0.0000 0.0000 -2.2072 3.8229 0.0000 0.0000 0.0000 7.3303" Properties=species:S:1:pos:R:3 comment="GGA-PBE CaIBr, optimized geometry" n_ef_per_ev_cell=0.000 pbc="T T T"
Ca 0.0000 0.0000 0.0000
I 2.2072 1.2743 1.8437
Br 0.0000 2.5486 5.8497


Version two
6
Lattice="7.2199 0.0000 0.0000 0.0000 4.4293 0.0000 -1.7847 0.0000 7.3518" Properties=species:S:1:pos:R:3 comment="GGA-PBE CaIBr, optimized geometry" n_ef_per_ev_cell=0.000 pbc="T T T"
Ca 0.0000 0.0000 0.0000
Ca 1.4848 2.2147 3.7269
I 2.6659 0.0000 1.8340
I 4.1646 2.2147 5.4381
Br 0.3845 0.0000 5.2844
Br 6.5108 2.2147 1.8117


Version three
12
Lattice="7.5093 0.0000 0.0000 0.0000 7.5093 0.0000 0.0000 0.0000 7.5093" Properties=species:S:1:pos:R:3 comment="GGA-PBE CaIBr, optimized geometry" n_ef_per_ev_cell=0.000 pbc="T T T"
Ca 0.0000 0.0000 0.0000
Ca 0.0000 3.7547 3.7547
Ca 3.7547 0.0000 3.7547
Ca 3.7547 3.7547 0.0000
I 1.8773 1.8773 1.8773
I 1.8773 5.6320 5.6320
I 5.6320 1.8773 5.6320
I 5.6320 5.6320 1.8773
Br 1.8773 1.8773 5.6320
Br 1.8773 5.6320 1.8773
Br 5.6320 1.8773 1.8773
Br 5.6320 5.6320 5.6320


Which structure wins on stability? version one wins.


Version one
5
Lattice="6.1269 0.0000 0.0000 0.0000 6.1269 0.0000 0.0000 0.0000 6.1269" Properties=species:S:1:pos:R:3 comment="GGA-PBE CaI3Br, optimized geometry" n_ef_per_ev_cell=10.176 pbc="T T T"
Ca 0.0000 0.0000 0.0000
I 0.0000 0.0000 3.0634
I 0.0000 3.0634 0.0000
I 3.0634 0.0000 0.0000
Br 3.0634 3.0634 3.0634


Version two
5
Lattice="6.0271 0.0000 0.0000 0.0000 6.0271 0.0000 0.0000 0.0000 6.0271" Properties=species:S:1:pos:R:3 comment="GGA-PBE CaI3Br, optimized geometry" n_ef_per_ev_cell=5.210 pbc="T T T"
Ca 0.0000 0.0000 0.0000
I 0.0000 3.0135 3.0135
I 3.0135 0.0000 3.0135
I 3.0135 3.0135 0.0000
Br 3.0135 3.0135 3.0135


Which structure wins on stability? version one wins.


Version one
16
Lattice="6.9877 0.0000 0.0000 0.0000 6.9877 0.0000 0.0000 0.0000 14.0886" Properties=species:S:1:pos:R:3 comment="GGA-PBE Ca2IBr, optimized geometry" n_ef_per_ev_cell=6.300 pbc="T T T"
Ca 1.5357 1.7469 1.7611
Ca 1.7469 5.0295 5.2832
Ca 1.7469 5.4520 12.3275
Ca 1.9582 1.7469 8.8054
Ca 5.0295 5.2408 8.8054
Ca 5.2408 1.5357 12.3275
Ca 5.2408 1.9582 5.2832
Ca 5.4520 5.2408 1.7611
I 0.0000 0.0000 7.0443
I 0.0000 3.4938 10.5664
I 3.4938 0.0000 3.5221
I 3.4938 3.4938 0.0000
Br 0.0000 0.0000 0.0000
Br 0.0000 3.4938 3.5221
Br 3.4938 0.0000 10.5664
Br 3.4938 3.4938 7.0443


Version two
16
Lattice="7.7879 0.0000 0.0000 0.0000 7.7879 0.0000 0.0000 0.0000 7.7879" Properties=species:S:1:pos:R:3 comment="GGA-PBE Ca2IBr, optimized geometry" n_ef_per_ev_cell=18.543 pbc="T T T"
Ca 1.9470 1.9470 1.9470
Ca 1.9470 1.9470 5.8409
Ca 1.9470 5.8409 1.9470
Ca 1.9470 5.8409 5.8409
Ca 5.8409 1.9470 1.9470
Ca 5.8409 1.9470 5.8409
Ca 5.8409 5.8409 1.9470
Ca 5.8409 5.8409 5.8409
I 0.0000 0.0000 0.0000
I 0.0000 3.8940 3.8940
I 3.8940 0.0000 3.8940
I 3.8940 3.8940 0.0000
Br 0.0000 0.0000 3.8940
Br 0.0000 3.8940 0.0000
Br 3.8940 0.0000 0.0000
Br 3.8940 3.8940 3.8940


Which structure wins on stability? version one wins.